No. 1
A plane-wave DFT calculation with PBE was carried out for a relaxed UTe2I2 crystal.

Properties
The space-group type is C2/m.

Lattice parameters (Å, degrees): 8.006 8.006 8.073 96.81 96.81 122.45
Site moments in Bohr magnetons follow the coordinates.
Sites, in units of the cell vectors:
1 I 0.960 0.541 0.237  -0.04
2 I 0.541 0.960 0.237  -0.04
3 I 0.459 0.040 0.763  -0.04
4 I 0.040 0.459 0.763  -0.04
5 Te 0.320 0.320 0.103  -0.06
6 Te 0.087 0.087 0.311  -0.06
7 Te 0.913 0.913 0.689  -0.06
8 Te 0.680 0.680 0.897  -0.06
9 U 0.856 0.144 0.000  2.19
10 U 0.144 0.856 0.000  2.19

No. 2
A plane-wave DFT calculation with PBE was carried out for a relaxed ZrTeI crystal.

Properties
The space-group type is P2_1/c.

Lattice parameters (Å, degrees): 8.178 8.226 6.996 90.00 106.15 90.00
Sites, in units of the cell vectors:
1 I 0.324 0.148 0.114
2 I 0.676 0.648 0.386
3 I 0.324 0.352 0.614
4 I 0.676 0.852 0.886
5 Te 0.815 0.330 0.068
6 Te 0.185 0.830 0.432
7 Te 0.815 0.170 0.568
8 Te 0.185 0.670 0.932
9 Zr 0.924 0.657 0.137
10 Zr 0.076 0.157 0.363
11 Zr 0.924 0.843 0.637
12 Zr 0.076 0.343 0.863

No. 3
A plane-wave DFT calculation with PBE was carried out for a relaxed Th3I2 crystal.

Properties
The space-group type is R-3c.

Lattice parameters (Å, degrees): 7.764 7.764 8.235 118.12 61.88 120.00
Sites, in units of the cell vectors:
1 I 0.650 0.350 0.049
2 I 0.850 0.150 0.451
3 I 0.150 0.850 0.549
4 I 0.350 0.650 0.951
5 Th 0.250 0.053 0.250
6 Th 0.947 0.447 0.250
7 Th 0.553 0.750 0.250
8 Th 0.447 0.250 0.750
9 Th 0.053 0.553 0.750
10 Th 0.750 0.947 0.750

No. 4
A plane-wave DFT calculation with PBE was carried out for a relaxed ThI4 crystal.

Properties
The space-group type is P2_1/c.

Lattice parameters (Å, degrees): 13.868 8.219 8.496 90.00 103.28 90.00
Sites, in units of the cell vectors:
1 I 0.154 0.356 0.010
2 I 0.311 0.753 0.025
3 I 0.948 0.084 0.174
4 I 0.398 0.186 0.202
5 I 0.102 0.686 0.298
6 I 0.552 0.584 0.326
7 I 0.189 0.253 0.475
8 I 0.346 0.856 0.490
9 I 0.654 0.144 0.510
10 I 0.811 0.747 0.525
11 I 0.448 0.416 0.674
12 I 0.898 0.314 0.702
13 I 0.602 0.814 0.798
14 I 0.052 0.916 0.826
15 I 0.689 0.247 0.975
16 I 0.846 0.644 0.990
17 Th 0.183 0.013 0.178
18 Th 0.317 0.513 0.322
19 Th 0.683 0.487 0.678
20 Th 0.817 0.987 0.822

No. 5
A plane-wave DFT calculation with PBE was carried out for a relaxed ThI3 crystal.

Properties
The space-group type is Cccm.

Lattice parameters (Å, degrees): 11.170 11.170 14.933 90.00 90.00 129.66
Sites, in units of the cell vectors:
1 I 0.700 0.314 0.000
2 I 0.300 0.686 0.000
3 I 0.973 0.223 0.127
4 I 0.027 0.777 0.127
5 I 0.315 0.222 0.129
6 I 0.685 0.778 0.129
7 I 0.500 0.000 0.179
8 I 0.000 0.500 0.321
9 I 0.222 0.315 0.371
10 I 0.778 0.685 0.371
11 I 0.777 0.027 0.373
12 I 0.223 0.973 0.373
13 I 0.686 0.300 0.500
14 I 0.314 0.700 0.500
15 I 0.777 0.027 0.627
16 I 0.223 0.973 0.627
17 I 0.222 0.315 0.629
18 I 0.778 0.685 0.629
19 I 0.000 0.500 0.679
20 I 0.500 0.000 0.821
21 I 0.315 0.222 0.871
22 I 0.685 0.778 0.871
23 I 0.973 0.223 0.873
24 I 0.027 0.777 0.873
25 Th 0.000 0.000 0.000
26 Th 0.656 0.001 0.000
27 Th 0.344 0.999 0.000
28 Th 0.000 0.000 0.250
29 Th 0.000 0.000 0.500
30 Th 0.999 0.344 0.500
31 Th 0.001 0.656 0.500
32 Th 0.000 0.000 0.750

No. 6
A plane-wave DFT calculation with PBE was carried out for a relaxed ThUI crystal.

Properties
The space-group type is P-6m2.

Lattice parameters (Å, degrees): 5.646 5.646 3.385 90.00 90.00 120.00
Site moments in Bohr magnetons follow the coordinates.
Sites, in units of the cell vectors:
1 I 0.000 0.000 0.000  0.01
2 Th 0.333 0.667 0.000  0.40
3 U 0.667 0.333 0.000  3.07

No. 7
A plane-wave DFT calculation with PBE was carried out for a relaxed Y3ThI crystal.

Properties
The space-group type is Pm-3m.

Lattice parameters (Å, degrees): 5.649 5.649 5.649 90.00 90.00 90.00
Sites, in units of the cell vectors:
1 I 0.000 0.000 0.000
2 Th 0.500 0.500 0.500
3 Y 0.500 0.000 0.000
4 Y 0.000 0.500 0.000
5 Y 0.000 0.000 0.500

No. 8
A plane-wave DFT calculation with PBE was carried out for a relaxed TmI2 crystal.

Properties
The space-group type is Fd-3m.

Lattice parameters (Å, degrees): 9.425 9.425 9.425 60.00 60.00 60.00
Site moments in Bohr magnetons follow the coordinates.
Sites, in units of the cell vectors:
1 I 0.375 0.375 0.375  -0.01
2 I 0.875 0.375 0.375  -0.02
3 I 0.375 0.875 0.375  -0.01
4 I 0.375 0.375 0.875  0.00
5 Tm 0.250 0.250 0.250  0.67
6 Tm 0.500 0.500 0.500  0.67

The records above yield total DFT energy (no corrections) values of -47.59, -61.69, -49.11, -78.75, -134.53, -18.34, -27.30, -18.91 eV for the cell shown, respectively.